Entry from the Alexandria database: a geometry-optimized ZrZnFe2 structure (PBE).

Unit cell a=2.7829 b=2.7829 c=7.7089 alpha=90.00 beta=90.00 gamma=90.04
Closest atoms and distances in Å follow each position.
Sites, in units of the cell vectors:
Zn1 0.5000 0.5000 0.2500  8 Fe 2.60, 4 Zn 2.78
Zr1 0.5000 0.5000 0.7500  4 Zr 2.78, 8 Fe 2.92
Fe1 0.0000 0.0000 0.4708  4 Zn 2.60, 4 Fe 2.78
Fe2 0.0000 0.0000 0.0292  4 Zn 2.60, 4 Fe 2.78

=====

Entry from the Alexandria database: a geometry-optimized Sr2LiCaMg structure (PBE).

Unit cell a=6.8597 b=6.8597 c=5.9080 alpha=90.00 beta=90.00 gamma=90.00
Closest atoms and distances in Å follow each position.
Sites, in units of the cell vectors:
Sr1 0.5000 0.0000 0.0000  2 Ca 3.43
Sr2 0.0000 0.5000 0.0000  2 Ca 3.43
Ca1 0.0000 0.0000 0.0000  2 Mg 2.95
Li1 0.5000 0.5000 0.5000  8 Sr 4.53, 4 Mg 4.85
Mg1 0.0000 0.0000 0.5000  2 Ca 2.95

=====

Number 1: DFT formation energy 140 meV per atom, E -6.55 eV per atom. Number 2: DFT formation energy 666 meV per atom, E -1.11 eV per atom.